# 1
# C2Se (PBE, optimized geometry)
data_C2Se
_cell_length_a 6.776
_cell_length_b 6.776
_cell_length_c 6.776
_cell_angle_alpha 155.84
_cell_angle_beta 101.24
_cell_angle_gamma 83.84
_symmetry_space_group_name_H-M 'P 1'
_symmetry_Int_Tables_number 1
loop_
_symmetry_equiv_pos_as_xyz
'x,y,z'
loop_
_atom_site_label
_atom_site_type_symbol
_atom_site_fract_x
_atom_site_fract_y
_atom_site_fract_z
C1 C 0.330 0.080 0.250
C2 C 0.465 0.215 0.250
C3 C 0.535 0.785 0.750
C4 C 0.670 0.920 0.750
Se1 Se 0.209 0.459 0.750
Se2 Se 0.791 0.541 0.250
# total energy: -39.64 eV/cell
# energy relative to the elements, uncorrected: 0.70 eV/atom
# offset from the most stable computed form: 433 meV/atom
# space group: Imma

***

# 2
# C4Se3 (PBE, optimized geometry)
data_C4Se3
_cell_length_a 4.440
_cell_length_b 4.440
_cell_length_c 4.440
_cell_angle_alpha 90.00
_cell_angle_beta 90.00
_cell_angle_gamma 90.00
_symmetry_space_group_name_H-M 'P 1'
_symmetry_Int_Tables_number 1
loop_
_symmetry_equiv_pos_as_xyz
'x,y,z'
loop_
_atom_site_label
_atom_site_type_symbol
_atom_site_fract_x
_atom_site_fract_y
_atom_site_fract_z
C1 C 0.125 0.125 0.875
C2 C 0.125 0.875 0.125
C3 C 0.875 0.125 0.125
C4 C 0.875 0.875 0.875
Se1 Se 0.000 0.500 0.500
Se2 Se 0.500 0.000 0.500
Se3 Se 0.500 0.500 0.000
# total energy: -33.65 eV/cell
# energy relative to the elements, uncorrected: 1.96 eV/atom
# offset from the most stable computed form: 34 meV/atom
# DOS at the Fermi energy: 3.94 states/eV/f.u.
# space group: P-43m

***

# 3
# C2Se (PBE, optimized geometry)
data_C2Se
_cell_length_a 9.827
_cell_length_b 9.827
_cell_length_c 7.416
_cell_angle_alpha 90.00
_cell_angle_beta 90.00
_cell_angle_gamma 165.11
_symmetry_space_group_name_H-M 'P 1'
_symmetry_Int_Tables_number 1
loop_
_symmetry_equiv_pos_as_xyz
'x,y,z'
loop_
_atom_site_label
_atom_site_type_symbol
_atom_site_fract_x
_atom_site_fract_y
_atom_site_fract_z
C1 C 0.060 0.940 0.750
C2 C 0.440 0.560 0.250
C3 C 0.560 0.440 0.750
C4 C 0.940 0.060 0.250
Se1 Se 0.167 0.833 0.250
Se2 Se 0.833 0.167 0.750
# total energy: -38.08 eV/cell
# energy relative to the elements, uncorrected: 0.96 eV/atom
# offset from the most stable computed form: 694 meV/atom
# DOS at the Fermi energy: 1.39 states/eV/f.u.
# space group: Cmcm

***

# 4
# C2Se (PBE, optimized geometry)
data_C2Se
_cell_length_a 5.033
_cell_length_b 5.033
_cell_length_c 8.734
_cell_angle_alpha 90.00
_cell_angle_beta 90.00
_cell_angle_gamma 29.27
_symmetry_space_group_name_H-M 'P 1'
_symmetry_Int_Tables_number 1
loop_
_symmetry_equiv_pos_as_xyz
'x,y,z'
loop_
_atom_site_label
_atom_site_type_symbol
_atom_site_fract_x
_atom_site_fract_y
_atom_site_fract_z
C1 C 0.009 0.437 0.250
C2 C 0.437 0.009 0.750
C3 C 0.563 0.991 0.250
C4 C 0.991 0.563 0.750
Se1 Se 0.214 0.786 0.750
Se2 Se 0.786 0.214 0.250
# total energy: -39.08 eV/cell
# energy relative to the elements, uncorrected: 0.80 eV/atom
# offset from the most stable computed form: 525 meV/atom
# DOS at the Fermi energy: 1.66 states/eV/f.u.
# space group: Cmcm

***

# 5
# CSe (PBE, optimized geometry)
data_CSe
_cell_length_a 2.950
_cell_length_b 6.815
_cell_length_c 6.815
_cell_angle_alpha 112.10
_cell_angle_beta 90.00
_cell_angle_gamma 90.00
_symmetry_space_group_name_H-M 'P 1'
_symmetry_Int_Tables_number 1
loop_
_symmetry_equiv_pos_as_xyz
'x,y,z'
loop_
_atom_site_label
_atom_site_type_symbol
_atom_site_fract_x
_atom_site_fract_y
_atom_site_fract_z
C1 C 0.000 0.000 0.000
C2 C 0.500 0.477 0.995
C3 C 0.500 0.995 0.477
Se1 Se 0.000 0.110 0.657
Se2 Se 0.000 0.657 0.110
Se3 Se 0.500 0.165 0.165
# total energy: -28.16 eV/cell
# energy relative to the elements, uncorrected: 1.66 eV/atom
# offset from the most stable computed form: 1157 meV/atom
# DOS at the Fermi energy: 0.40 states/eV/f.u.
# space group: Amm2

***

# 6
# C2Se (PBE, optimized geometry)
data_C2Se
_cell_length_a 5.161
_cell_length_b 4.326
_cell_length_c 11.030
_cell_angle_alpha 90.00
_cell_angle_beta 90.00
_cell_angle_gamma 90.00
_symmetry_space_group_name_H-M 'P 1'
_symmetry_Int_Tables_number 1
loop_
_symmetry_equiv_pos_as_xyz
'x,y,z'
loop_
_atom_site_label
_atom_site_type_symbol
_atom_site_fract_x
_atom_site_fract_y
_atom_site_fract_z
C1 C 0.008 0.250 0.001
C2 C 0.129 0.250 0.103
C3 C 0.371 0.750 0.603
C4 C 0.492 0.750 0.501
C5 C 0.508 0.250 0.499
C6 C 0.629 0.250 0.397
C7 C 0.871 0.750 0.897
C8 C 0.992 0.750 0.999
Se1 Se 0.174 0.750 0.145
Se2 Se 0.326 0.250 0.645
Se3 Se 0.674 0.750 0.355
Se4 Se 0.826 0.250 0.855
# total energy: -68.51 eV/cell
# energy relative to the elements, uncorrected: 1.60 eV/atom
# offset from the most stable computed form: 1330 meV/atom
# DOS at the Fermi energy: 0.96 states/eV/f.u.
# space group: Pnma

***

> Which formula does entry 6 have?

C2Se